Computed, not measured: a relaxed structure of Ac5SnRh2 at the PBE level of DFT.

a b c (Å): 8.4383 8.4383 14.6723
angles (deg): 90.00 90.00 90.00
Space group I4/mcm (No. 140)
Symmetry-distinct sites (fractional):
1 Ac 0.0000 0.0000 0.0000 [4 per cell]
2 Ac 0.1604 0.3396 0.1350 [16 per cell]
3 Sn 0.0000 0.0000 0.2500 [4 per cell]
4 Rh 0.1416 0.3584 0.5000 [8 per cell]

Summary:
calculated density	9.279	g/cm3
total energy	-5.500	eV per atom
V	1044.75	Å³ per cell